Entry 1:
The following is a PBEsol calculation of TmCdAu2 after structural relaxation, from the Alexandria database.

Summary:
DFT total energy: -0.1533 hartree per atom
energy of formation: -0.686 eV per atom
density of states at the Fermi level: 1.9 states/eV per cell

a = 4.7960 Å, b = 4.7960 Å, c = 4.7960 Å
α = 60.00°, β = 60.00°, γ = 60.00°
Element x y z (fractional)
1 Au 0.7500 0.7500 0.7500
2 Au 0.2500 0.2500 0.2500
3 Cd 0.5000 0.5000 0.5000
4 Tm 0.0000 0.0000 0.0000



Entry 2:
The following is a PBEsol calculation of TmCdAu after structural relaxation, from the Alexandria database.

Summary:
DFT total energy: -0.1477 hartree per atom
energy of formation: -0.678 eV per atom
density of states at the Fermi level: 5.7 states/eV per cell

a = 3.8534 Å, b = 7.5642 Å, c = 7.5642 Å
α = 120.00°, β = 90.00°, γ = 90.00°
Element x y z (fractional)
1 Au 0.0000 0.0000 0.0000
2 Au 0.5000 0.6667 0.3333
3 Au 0.5000 0.3333 0.6667
4 Tm 0.0000 0.5966 0.0000
5 Tm 0.0000 0.4034 0.4034
6 Tm 0.0000 0.0000 0.5966
7 Cd 0.5000 0.0000 0.2622
8 Cd 0.5000 0.2622 0.0000
9 Cd 0.5000 0.7378 0.7378



Entry 3:
The following is a PBEsol calculation of Cd2WAu after structural relaxation, from the Alexandria database.

Summary:
ΔE to the lowest computed polymorph: 0 meV per atom
DFT total energy: -0.1661 hartree per atom
energy of formation: 0.512 eV per atom
density of states at the Fermi level: 3.3 states/eV per cell

a = 2.9559 Å, b = 4.8793 Å, c = 4.9104 Å
α = 90.00°, β = 90.00°, γ = 90.00°
Element x y z (fractional)
1 W 0.5000 0.5000 0.0000
2 Cd 0.0000 0.0000 0.0000
3 Cd 0.5000 0.0000 0.5000
4 Au 0.0000 0.5000 0.5000



Q: DFT total energy of number 2 (TmCdAu)?
A: -0.1477 hartree per atom



Q: The highest density of states at the Fermi level belongs to which entry?
A: TmCdAu



Copy entry 2 word for word.
The following is a PBEsol calculation of TmCdAu after structural relaxation, from the Alexandria database.

Summary:
DFT total energy: -0.1477 hartree per atom
energy of formation: -0.678 eV per atom
density of states at the Fermi level: 5.7 states/eV per cell

a = 3.8534 Å, b = 7.5642 Å, c = 7.5642 Å
α = 120.00°, β = 90.00°, γ = 90.00°
Element x y z (fractional)
1 Au 0.0000 0.0000 0.0000
2 Au 0.5000 0.6667 0.3333
3 Au 0.5000 0.3333 0.6667
4 Tm 0.0000 0.5966 0.0000
5 Tm 0.0000 0.4034 0.4034
6 Tm 0.0000 0.0000 0.5966
7 Cd 0.5000 0.0000 0.2622
8 Cd 0.5000 0.2622 0.0000
9 Cd 0.5000 0.7378 0.7378